Below is an optimized crystal structure of RuSeCl2, with properties calculated at the PBE level.

abc: 4.7385 3.5556 5.8436
angles: 90.00 109.98 90.00
Positions (direct):
Ru: 0.0000 0.0000 0.0000
Se: 0.1479 0.5000 0.2707
Cl: 0.4686 0.0000 0.9019
Cl: 0.8644 0.5000 0.6573

---

Below is an optimized crystal structure of RuSeCl2, with properties calculated at the PBE level.

abc: 3.1439 3.1439 11.5153
angles: 90.00 90.00 124.78
Positions (direct):
Ru: 0.0000 0.0000 0.0000
Se: 0.0000 0.0000 0.5000
Cl: 0.5000 0.5000 0.1607
Cl: 0.5000 0.5000 0.8393

---

Below is an optimized crystal structure of RuSe2Cl5, with properties calculated at the PBE level.

abc: 4.5857 7.7743 8.0976
angles: 63.08 73.90 73.05
Positions (direct):
Ru: 0.0000 0.0000 0.0000
Se: 0.0095 0.6153 0.5946
Se: 0.4945 0.5024 0.4963
Cl: 0.1151 0.6700 0.0895
Cl: 0.1163 0.0680 0.6885
Cl: 0.4618 0.0338 0.0446
Cl: 0.8564 0.3492 0.9335
Cl: 0.8564 0.9590 0.3312

---

Below is an optimized crystal structure of RuSe2Cl, with properties calculated at the PBE level.

abc: 6.8619 6.8619 6.8619
angles: 152.27 141.80 47.85
Positions (direct):
Ru: 0.0000 0.0000 0.0000
Se: 0.4655 0.4655 0.0000
Se: 0.8571 0.3571 0.5000
Cl: 0.1529 0.6529 0.5000

---

| no. | E (eV per atom) | raw formation energy (eV per atom) |
| --- | --- | --- |
| 1 | -4.402 | -0.288 |
| 2 | -3.872 | 0.241 |
| 3 | -3.421 | -0.236 |
| 4 | -4.517 | 0.006 |